Material: Sr2Ag3Br8
Method: DFT, GGA-PBE
State: optimized geometry

Cell and atoms, written as POSCAR:
```
Sr2Ag3Br8
1.0
-1.0298 2.4960 7.0949
5.4801 -5.1759 2.6163
2.6270 6.8434 -4.1314
Sr Ag Br
2 3 8
Direct
0.3254 0.2600 0.5199
0.6746 0.7400 0.4801
0.5000 0.0000 0.0000
0.0000 0.2512 0.0000
0.0000 0.7488 0.0000
0.9482 0.6174 0.2348
0.0518 0.3826 0.7652
0.9374 0.1148 0.2295
0.0626 0.8852 0.7705
0.5828 0.6405 0.7678
0.5828 0.1273 0.7678
0.4172 0.8727 0.2322
0.4172 0.3595 0.2322
```

As for the total energy: -0.223 Ry/atom. As for the symmetry: C2/m. As for the formation energy (no corrections): -1093 meV/atom.